Ag2W: relaxed, PBE.

POSCAR file:
```
Ag2W
1.0
6.003 0.000 0.000
0.000 3.067 0.000
0.000 0.000 11.535
Ag W
8 4
Cartesian
0.628 0.767 0.993 Ag
0.820 0.767 8.621 Ag
2.182 2.300 2.854 Ag
2.374 2.300 6.760 Ag
3.629 0.767 4.774 Ag
3.821 0.767 8.681 Ag
5.184 2.300 2.913 Ag
5.376 2.300 10.542 Ag
0.613 0.767 5.027 W
2.388 2.300 10.794 W
3.615 0.767 0.740 W
5.390 2.300 6.508 W
```

Output
ρ = 12.50 g/cm3
DFT total energy = -5.679 eV/atom
SG = Pnma (62)
Total magnetic moment = 0.00 μB/f.u.